# KEuFeBiO6

A relaxed KEuFeBiO6 crystal (PBE+U, the Alexandria database).

Structure (CIF):
```
data_KEuFeBiO6
_chemical_formula_sum 'K1 Eu1 Fe1 Bi1 O6'
_symmetry_space_group_name_H-M 'P 1'
_symmetry_Int_Tables_number 1
_cell_length_a 5.786
_cell_length_b 5.786
_cell_length_c 5.786
_cell_angle_alpha 60.00
_cell_angle_beta 60.00
_cell_angle_gamma 60.00
loop_
_symmetry_equiv_pos_as_xyz
'x,y,z'
loop_
_atom_site_label
_atom_site_type_symbol
_atom_site_fract_x
_atom_site_fract_y
_atom_site_fract_z
K1 K 0.000 0.000 0.000
Eu1 Eu 0.500 0.500 0.500
Fe1 Fe 0.250 0.250 0.250
Bi1 Bi 0.750 0.750 0.750
O1 O 0.007 0.007 0.493
O2 O 0.007 0.493 0.007
O3 O 0.007 0.493 0.493
O4 O 0.493 0.007 0.007
O5 O 0.493 0.007 0.493
O6 O 0.493 0.493 0.007
```

V	136.99	Å³ per cell
E	-6.5418	eV/atom
size of the total moment	11.18	μB/f.u.